Below is crystalline KPbAuSe3 at its relaxed geometry, with properties calculated at the PBE-GGA level.

uncorrected energy	-0.1284	Ha/atom
crystal system	orthorhombic

Unit cell a=4.4187 b=6.8064 c=11.7418 alpha=90.00 beta=90.00 gamma=71.06
Element x y z (fractional)
Se (0.9781, 0.0439, 0.7500)
Se (0.0219, 0.9561, 0.2500)
Se (0.6544, 0.6911, 0.5430)
Se (0.3456, 0.3089, 0.0430)
Se (0.3456, 0.3089, 0.4570)
Se (0.6544, 0.6911, 0.9570)
Au (0.5877, 0.8246, 0.7500)
Au (0.4123, 0.1754, 0.2500)
K (0.2826, 0.4348, 0.7500)
K (0.7174, 0.5652, 0.2500)
Pb (0.0000, 0.0000, 0.0000)
Pb (0.0000, 0.0000, 0.5000)